1.
{"formula": "NbAl3C", "functional": "PBE-GGA", "state": "relaxed", "vol_a3_per_cell": 70.4, "energy_ev_per_atom": -5.6689, "rho_kg_m3": 4386, "lattice": [[4.1285, 0.0000, 0.0000], [0.0000, 4.1285, 0.0000], [0.0000, 0.0000, 4.1285]], "species": ["Al", "Al", "C", "Nb", "Al"], "frac_coords": [[0.5000, 0.0000, 0.0000], [0.0000, 0.5000, 0.0000], [0.0000, 0.0000, 0.0000], [0.5000, 0.5000, 0.5000], [0.0000, 0.0000, 0.5000]]}

2.
{"formula": "Nb3AlC2", "functional": "PBE-GGA", "state": "relaxed", "vol_a3_per_cell": 163.4, "energy_ev_per_atom": -9.2712, "rho_kg_m3": 6702, "lattice": [[-1.7328, 2.4359, 0.9314], [-1.1419, -2.0213, -2.1009], [-7.3321, -10.6625, 14.2438]], "species": ["Nb", "Nb", "Al", "C", "Nb", "C", "C", "Al", "Nb", "C", "Nb", "Nb"], "frac_coords": [[0.3333, 0.6667, 0.1335], [0.6667, 0.3333, 0.6335], [0.0000, 0.0000, 0.2500], [0.3333, 0.6667, 0.9308], [0.3333, 0.6667, 0.3665], [0.3333, 0.6667, 0.5692], [0.6667, 0.3333, 0.0692], [0.0000, 0.0000, 0.7500], [0.0000, 0.0000, 0.0000], [0.6667, 0.3333, 0.4308], [0.0000, 0.0000, 0.5000], [0.6667, 0.3333, 0.8665]]}

3.
{"formula": "NbAl3C3", "functional": "PBE-GGA", "state": "relaxed", "vol_a3_per_cell": 158.1, "energy_ev_per_atom": -7.1174, "rho_kg_m3": 4408, "lattice": [[3.3273, 0.0000, 0.0000], [-1.6636, 2.8815, 0.0000], [0.0000, 0.0000, 16.4937]], "species": ["Al", "C", "C", "C", "Al", "Al", "Al", "Al", "C", "C", "C", "Al", "Nb", "Nb"], "frac_coords": [[0.6667, 0.3333, 0.1277], [0.3333, 0.6667, 0.0878], [0.3333, 0.6667, 0.7500], [0.6667, 0.3333, 0.2500], [0.6667, 0.3333, 0.3723], [0.3333, 0.6667, 0.2500], [0.3333, 0.6667, 0.8723], [0.6667, 0.3333, 0.7500], [0.6667, 0.3333, 0.9122], [0.3333, 0.6667, 0.4122], [0.6667, 0.3333, 0.5878], [0.3333, 0.6667, 0.6277], [0.0000, 0.0000, 0.0000], [0.0000, 0.0000, 0.5000]]}

4.
{"formula": "NbAl2C", "functional": "PBE-GGA", "state": "relaxed", "vol_a3_per_cell": 111.2, "energy_ev_per_atom": -6.5297, "rho_kg_m3": 4743, "lattice": [[3.0229, 0.0000, 0.0000], [-1.5115, 2.6179, 0.0000], [0.0000, 0.0000, 14.0575]], "species": ["Nb", "Al", "C", "Al", "C", "Al", "Nb", "Al"], "frac_coords": [[0.6667, 0.3333, 0.2500], [0.6667, 0.3333, 0.9239], [0.0000, 0.0000, 0.5000], [0.6667, 0.3333, 0.5761], [0.0000, 0.0000, 0.0000], [0.3333, 0.6667, 0.0761], [0.3333, 0.6667, 0.7500], [0.3333, 0.6667, 0.4239]]}

5.
{"formula": "Nb4AlPC2", "functional": "PBE-GGA", "state": "relaxed", "vol_a3_per_cell": 114.6, "energy_ev_per_atom": -9.1246, "rho_kg_m3": 6573, "lattice": [[3.2198, 0.0000, 0.0000], [-1.6099, 2.7884, 0.0000], [0.0000, 0.0000, 12.7644]], "species": ["Nb", "P", "Nb", "C", "Nb", "Nb", "C", "Al"], "frac_coords": [[0.0000, 0.0000, 0.6385], [0.6667, 0.3333, 0.5000], [0.6667, 0.3333, 0.8270], [0.3333, 0.6667, 0.2637], [0.0000, 0.0000, 0.3615], [0.6667, 0.3333, 0.1730], [0.3333, 0.6667, 0.7363], [0.0000, 0.0000, 0.0000]]}

6.
{"formula": "Nb4AlC2S", "functional": "PBE-GGA", "state": "relaxed", "vol_a3_per_cell": 114.9, "energy_ev_per_atom": -8.9674, "rho_kg_m3": 6573, "lattice": [[-1.6799, 2.4629, -1.2097], [-1.1815, -1.6964, 2.4653], [5.7455, 7.9624, 8.2326]], "species": ["C", "Nb", "Nb", "Al", "S", "Nb", "C", "Nb"], "frac_coords": [[0.3333, 0.6667, 0.2632], [0.0000, 0.0000, 0.8272], [0.0000, 0.0000, 0.1728], [0.6667, 0.3333, 0.0000], [0.0000, 0.0000, 0.5000], [0.6667, 0.3333, 0.6420], [0.3333, 0.6667, 0.7368], [0.6667, 0.3333, 0.3580]]}